A plane-wave DFT calculation with PBE was carried out for an optimized crystal structure of HoU2Se6. Values from VASP.

## Properties
D(E_F) ... 1.047 states/eV per atom
E above lowest polymorph ... 146 meV/atom

Quantum ESPRESSO input file:
```
&SYSTEM
  ibrav = 0, nat = 9, ntyp = 3
/
ATOMIC_SPECIES
Ho 164.93 Ho.upf
U 238.03 U.upf
Se 78.96 Se.upf
ATOMIC_POSITIONS crystal
Ho 0.0000 0.5000 0.5000
U 0.1836 0.7403 0.8924
U 0.8164 0.2597 0.1076
Se 0.7423 0.6428 0.8726
Se 0.2577 0.3572 0.1274
Se 0.9570 0.8567 0.2293
Se 0.3735 0.7111 0.5419
Se 0.0430 0.1433 0.7707
Se 0.6265 0.2889 0.4581
CELL_PARAMETERS angstrom
-3.7574 -3.6388 1.4087
3.0200 -5.6165 3.9624
-2.1283 1.0755 7.5167
```

A plane-wave DFT calculation with PBE was carried out for an optimized crystal structure of HoU2Se5. Values from VASP.

## Properties
D(E_F) ... 1.034 states/eV per atom

Quantum ESPRESSO input file:
```
&SYSTEM
  ibrav = 0, nat = 8, ntyp = 3
/
ATOMIC_SPECIES
Ho 164.93 Ho.upf
U 238.03 U.upf
Se 78.96 Se.upf
ATOMIC_POSITIONS crystal
Ho 0.0000 0.0000 0.0000
U 0.5000 0.5000 0.0000
U 0.5000 0.0000 0.5000
Se 0.9413 0.6969 0.7568
Se 0.6996 0.2967 0.5816
Se 0.3004 0.7033 0.4184
Se 0.5000 0.0000 0.0000
Se 0.0587 0.3031 0.2432
CELL_PARAMETERS angstrom
-4.6113 0.4800 -3.6633
-4.7051 -5.0709 2.1879
-1.6379 2.4369 4.8975
```

A plane-wave DFT calculation with PBE was carried out for an optimized crystal structure of HoUSe2. Values from VASP.

## Properties
D(E_F) ... 1.417 states/eV per atom
E above lowest polymorph ... 0 meV/atom

Quantum ESPRESSO input file:
```
&SYSTEM
  ibrav = 0, nat = 4, ntyp = 3
/
ATOMIC_SPECIES
U 238.03 U.upf
Ho 164.93 Ho.upf
Se 78.96 Se.upf
ATOMIC_POSITIONS crystal
U 0.0000 0.0000 0.0000
Ho 0.5000 0.5000 0.5000
Se 0.2478 0.2478 0.2566
Se 0.7522 0.7522 0.7434
CELL_PARAMETERS angstrom
3.9631 0.0000 0.0000
1.9816 3.4322 0.0000
1.9816 1.1441 6.9475
```

A plane-wave DFT calculation with PBE was carried out for an optimized crystal structure of HoUSe2. Values from VASP.

## Properties
D(E_F) ... 0.810 states/eV per atom
E above lowest polymorph ... 41 meV/atom

Quantum ESPRESSO input file:
```
&SYSTEM
  ibrav = 0, nat = 4, ntyp = 3
/
ATOMIC_SPECIES
Ho 164.93 Ho.upf
U 238.03 U.upf
Se 78.96 Se.upf
ATOMIC_POSITIONS crystal
Ho 0.6703 0.6703 0.9892
U 0.4964 0.4964 0.5107
Se 0.0800 0.0800 0.7600
Se 0.2533 0.2533 0.2402
CELL_PARAMETERS angstrom
3.8791 0.0000 0.0000
1.9396 3.3594 0.0000
1.9396 1.1198 7.3562
```

A plane-wave DFT calculation with PBE was carried out for an optimized crystal structure of HoU4Se8. Values from VASP.

## Properties
D(E_F) ... 1.102 states/eV per atom

Quantum ESPRESSO input file:
```
&SYSTEM
  ibrav = 0, nat = 13, ntyp = 3
/
ATOMIC_SPECIES
Ho 164.93 Ho.upf
U 238.03 U.upf
Se 78.96 Se.upf
ATOMIC_POSITIONS crystal
Ho 0.5000 0.5000 0.5000
U 0.5000 0.0000 0.5000
U 0.0000 0.5000 0.5000
U 0.5000 0.5000 0.0000
U 0.0000 0.0000 0.0000
Se 0.2512 0.7511 0.2512
Se 0.7488 0.7488 0.2489
Se 0.7488 0.2489 0.7488
Se 0.2489 0.7488 0.7488
Se 0.7456 0.7456 0.7456
Se 0.2544 0.2544 0.2544
Se 0.7511 0.2512 0.2512
Se 0.2512 0.2512 0.7511
CELL_PARAMETERS angstrom
7.3441 0.5184 3.5899
2.4548 6.9411 3.5899
0.6809 0.5184 8.1462
```

A plane-wave DFT calculation with PBE was carried out for an optimized crystal structure of Ho6USe8. Values from VASP.

## Properties
D(E_F) ... 0.992 states/eV per atom

Quantum ESPRESSO input file:
```
&SYSTEM
  ibrav = 0, nat = 15, ntyp = 3
/
ATOMIC_SPECIES
Ho 164.93 Ho.upf
U 238.03 U.upf
Se 78.96 Se.upf
ATOMIC_POSITIONS crystal
Ho 0.0000 0.5000 0.5000
Ho 0.5000 0.0000 0.0000
Ho 0.5000 0.5000 0.0000
Ho 0.0000 0.0000 0.5000
Ho 0.0000 0.5000 0.0000
Ho 0.5000 0.0000 0.5000
U 0.0000 0.0000 0.0000
Se 0.7500 0.7500 0.7500
Se 0.2500 0.2500 0.2500
Se 0.7435 0.2565 0.2565
Se 0.2565 0.7435 0.7435
Se 0.2565 0.2565 0.7435
Se 0.7435 0.7435 0.2565
Se 0.7435 0.2565 0.7435
Se 0.2565 0.7435 0.2565
CELL_PARAMETERS angstrom
7.0054 0.0000 4.0446
2.3351 6.6048 4.0446
0.0000 0.0000 8.0892
```

A plane-wave DFT calculation with PBE was carried out for an optimized crystal structure of HoVSe2. Values from VASP.

## Properties
D(E_F) ... 1.739 states/eV per atom

Quantum ESPRESSO input file:
```
&SYSTEM
  ibrav = 0, nat = 4, ntyp = 3
/
ATOMIC_SPECIES
Ho 164.93 Ho.upf
Se 78.96 Se.upf
V 50.94 V.upf
ATOMIC_POSITIONS crystal
Ho 0.0000 0.0000 0.0000
Se 0.1103 0.1103 0.6691
Se 0.8897 0.8897 0.3309
V 0.5000 0.5000 0.5000
CELL_PARAMETERS angstrom
-0.1191 2.5357 2.7424
-3.0149 2.1697 0.4088
-4.4624 -4.1485 6.1881
```

A plane-wave DFT calculation with PBE was carried out for an optimized crystal structure of HoW4Se8. Values from VASP.

## Properties
D(E_F) ... 0.813 states/eV per atom

Quantum ESPRESSO input file:
```
&SYSTEM
  ibrav = 0, nat = 13, ntyp = 3
/
ATOMIC_SPECIES
Ho 164.93 Ho.upf
W 183.84 W.upf
Se 78.96 Se.upf
ATOMIC_POSITIONS crystal
Ho 0.0000 0.5000 0.5000
W 0.0000 0.0000 0.0000
W 0.0000 0.5000 0.0000
W 0.5000 0.5000 0.0000
W 0.5000 0.0000 0.0000
Se 0.4874 0.7437 0.2311
Se 0.5126 0.2563 0.7689
Se 0.4811 0.2405 0.2332
Se 0.0073 0.2478 0.7668
Se 0.5189 0.7595 0.7668
Se 0.0073 0.7595 0.7668
Se 0.9927 0.2405 0.2332
Se 0.9927 0.7522 0.2332
CELL_PARAMETERS angstrom
6.0007 -0.0004 -3.2374
-3.8734 5.6112 -0.0004
0.5568 0.3850 8.2121
```

A plane-wave DFT calculation with PBE was carried out for an optimized crystal structure of YHoSe. Values from VASP.

## Properties
D(E_F) ... 0.760 states/eV per atom
E above lowest polymorph ... 23 meV/atom

Quantum ESPRESSO input file:
```
&SYSTEM
  ibrav = 0, nat = 3, ntyp = 3
/
ATOMIC_SPECIES
Y 88.91 Y.upf
Ho 164.93 Ho.upf
Se 78.96 Se.upf
ATOMIC_POSITIONS crystal
Y 0.8840 0.8840 0.3480
Ho 0.3999 0.3999 0.8002
Se 0.6425 0.6425 0.0724
CELL_PARAMETERS angstrom
-1.4959 -1.6055 -3.1931
2.1989 -2.2736 -2.2376
-1.5713 -6.3981 1.6026
```

A plane-wave DFT calculation with PBE was carried out for an optimized crystal structure of YHo3Se6. Values from VASP.

## Properties
E above lowest polymorph ... 0 meV/atom

Quantum ESPRESSO input file:
```
&SYSTEM
  ibrav = 0, nat = 20, ntyp = 3
/
ATOMIC_SPECIES
Y 88.91 Y.upf
Ho 164.93 Ho.upf
Se 78.96 Se.upf
ATOMIC_POSITIONS crystal
Y 0.7500 0.0435 0.6922
Y 0.2500 0.9565 0.3078
Ho 0.7500 0.4325 0.8325
Ho 0.2500 0.5675 0.1675
Ho 0.7500 0.6826 0.5016
Ho 0.2500 0.3174 0.4984
Ho 0.7500 0.1591 0.0832
Ho 0.2500 0.8409 0.9168
Se 0.7500 0.4800 0.6152
Se 0.2500 0.5200 0.3848
Se 0.7500 0.9172 0.0984
Se 0.2500 0.0828 0.9016
Se 0.7500 0.3958 0.0624
Se 0.2500 0.6042 0.9376
Se 0.7500 0.7461 0.2770
Se 0.2500 0.2539 0.7230
Se 0.7500 0.1116 0.4652
Se 0.2500 0.8884 0.5348
Se 0.7500 0.8073 0.7497
Se 0.2500 0.1927 0.2503
CELL_PARAMETERS angstrom
-0.6851 -2.6974 2.9933
4.2864 -8.4257 -6.6118
8.7587 4.7955 6.3261
```

Number 1: total magnetic moment 3.00 μB per formula unit, uncorrected formation energy -1.143 eV/atom. Number 2: total magnetic moment 1.08 μB per formula unit, uncorrected formation energy -1.018 eV/atom. Number 3: total magnetic moment 2.91 μB per formula unit, uncorrected formation energy -1.356 eV/atom. Number 4: total magnetic moment 3.27 μB per formula unit, uncorrected formation energy -1.315 eV/atom. Number 5: total magnetic moment 10.94 μB per formula unit, uncorrected formation energy -1.249 eV/atom. Number 6: total magnetic moment 3.78 μB per formula unit, uncorrected formation energy -1.668 eV/atom. Number 7: total magnetic moment 2.23 μB per formula unit, uncorrected formation energy -0.631 eV/atom. Number 8: total magnetic moment 0.00 μB per formula unit, uncorrected formation energy -0.318 eV/atom. Number 9: total magnetic moment 0.00 μB per formula unit, uncorrected formation energy -1.098 eV/atom. Number 10: total magnetic moment 0.00 μB per formula unit, uncorrected formation energy -1.862 eV/atom.